Here is an optimized crystal structure of Li2CoAgF8 from Alexandria via LeMat-Bulk. Energies are from PBE with a Hubbard U.

Output
D(E_F) in states/eV/f.u.: 3.5
M_tot in μB/cell: 0.15
Final energy in eV/atom: -4.1628

a = 4.631 Å, b = 4.631 Å, c = 6.483 Å
α = 90.00°, β = 90.00°, γ = 93.05°
Fractional coordinates of all 12 atoms:
Li1 0.000 0.000 0.227
Li2 0.000 0.000 0.773
Co1 0.500 0.500 0.000
Ag1 0.500 0.500 0.500
F1 0.190 0.190 0.500
F2 0.212 0.212 0.000
F3 0.313 0.687 0.208
F4 0.313 0.687 0.792
F5 0.687 0.313 0.208
F6 0.687 0.313 0.792
F7 0.788 0.788 0.000
F8 0.810 0.810 0.500